Entry 1:
ThIrF PBE-GGA relaxed; E = -8.08 eV per atom
1.0
3.745 0.000 0.000
0.000 3.745 0.000
0.000 0.000 7.735
Th Ir F
2 2 2
Cartesian
0.936 0.936 1.802 Th
2.809 2.809 5.933 Th
0.936 0.936 4.707 Ir
2.809 2.809 3.028 Ir
0.936 2.809 0.000 F
2.809 0.936 0.000 F

***

Entry 2:
HoTmAu2 PBE-GGA relaxed; E = -4.79 eV per atom
1.0
4.622 0.000 0.000
0.000 3.688 0.000
0.000 0.000 10.866
Ho Tm Au
2 2 4
Cartesian
0.000 0.000 0.000 Ho
0.000 1.844 5.433 Ho
2.311 0.000 7.830 Tm
2.311 1.844 2.397 Tm
0.000 0.000 2.947 Au
0.000 1.844 8.380 Au
2.311 0.000 4.882 Au
2.311 1.844 10.315 Au

***

Entry 3:
FeSnPdW PBE-GGA relaxed; relative energy among the computed polymorphs = 0 meV/atom
1.0
6.329 0.000 0.000
0.000 6.329 0.000
0.000 0.000 6.329
Fe Sn Pd W
4 4 4 4
Cartesian
0.000 0.000 0.000 Fe
0.000 3.164 3.164 Fe
3.164 0.000 3.164 Fe
3.164 3.164 0.000 Fe
1.582 1.582 4.746 Sn
1.582 4.746 1.582 Sn
4.746 1.582 1.582 Sn
4.746 4.746 4.746 Sn
0.000 0.000 3.164 Pd
0.000 3.164 0.000 Pd
3.164 0.000 0.000 Pd
3.164 3.164 3.164 Pd
1.582 1.582 1.582 W
1.582 4.746 4.746 W
4.746 1.582 4.746 W
4.746 4.746 1.582 W

***

Entry 4:
Cs2KIrBr6 PBE-GGA relaxed; E = -3.33 eV per atom
1.0
0.000 5.676 5.676
5.676 0.000 5.676
5.676 5.676 0.000
Cs K Ir Br
2 1 1 6
Cartesian
2.838 2.838 2.838 Cs
8.514 8.514 8.514 Cs
0.000 0.000 0.000 K
5.676 5.676 5.676 Ir
5.676 5.676 3.161 Br
5.676 3.161 5.676 Br
8.191 5.676 5.676 Br
3.161 5.676 5.676 Br
5.676 8.191 5.676 Br
5.676 5.676 8.191 Br

***

Entry 5:
TbSm4Ag5 PBE-GGA relaxed; E = -4.06 eV per atom
1.0
3.661 0.000 0.000
0.000 3.661 0.000
0.000 0.000 18.683
Tb Sm Ag
1 4 5
Cartesian
0.000 0.000 0.000 Tb
0.000 0.000 3.699 Sm
0.000 0.000 7.463 Sm
0.000 0.000 11.220 Sm
0.000 0.000 14.984 Sm
1.831 1.831 1.786 Ag
1.831 1.831 5.583 Ag
1.831 1.831 9.341 Ag
1.831 1.831 13.100 Ag
1.831 1.831 16.897 Ag

***

Entry 6:
Nd2Sm2CI2Br3 PBE-GGA relaxed; relative energy among the computed polymorphs = 14 meV/atom
1.0
9.336 -1.993 0.000
9.336 1.993 0.000
-1.715 0.000 8.282
Nd Sm C I Br
2 2 1 2 3
Cartesian
2.454 0.000 0.533 Nd
14.503 0.000 7.748 Nd
8.947 0.000 1.671 Sm
8.010 0.000 6.610 Sm
0.000 0.000 0.000 C
5.141 0.000 5.337 I
11.816 0.000 2.945 I
-0.858 0.000 4.141 Br
5.910 0.000 1.486 Br
11.047 0.000 6.795 Br

***

no.,ρ (g/cm³)
1,13.57
2,13.05
3,12.18
4,4.43
5,8.62
6,5.90